--- one ---
Na2Ho | PBE | optimized geometry

Cell lengths 6.273, 6.273, 6.273 Å; angles 60.00, 60.00, 60.00 degrees
Positions (direct):
Na1 0.000 0.000 0.000
Na2 0.000 0.000 0.500
Na3 0.000 0.500 0.000
Na4 0.500 0.000 0.000
Ho1 0.375 0.375 0.375
Ho2 0.625 0.625 0.625

Values from the calculation:
- M_tot: 0.1 Bohr magnetons per cell

***

--- two ---
Na2Ho | PBE | optimized geometry

Cell lengths 7.693, 7.693, 7.693 Å; angles 90.00, 90.00, 90.00 degrees
Positions (direct):
Na1 0.250 0.250 0.250
Na2 0.250 0.250 0.750
Na3 0.250 0.750 0.250
Na4 0.250 0.750 0.750
Na5 0.750 0.250 0.250
Na6 0.750 0.250 0.750
Na7 0.750 0.750 0.250
Na8 0.750 0.750 0.750
Ho1 0.000 0.000 0.000
Ho2 0.000 0.500 0.500
Ho3 0.500 0.000 0.500
Ho4 0.500 0.500 0.000

Values from the calculation:
- M_tot: 0.1 Bohr magnetons per cell

***

It comes down to one, which is 546 meV/atom more stable than the next structure.

***

--- one ---
NaHoNiSe3 | PBE | optimized geometry

Cell lengths 11.037, 4.065, 11.933 Å; angles 90.00, 90.00, 90.00 degrees
Positions (direct):
Na1 0.184 0.250 0.005
Na2 0.316 0.750 0.505
Na3 0.684 0.250 0.495
Na4 0.816 0.750 0.995
Ho1 0.014 0.250 0.311
Ho2 0.486 0.750 0.811
Ho3 0.514 0.250 0.189
Ho4 0.986 0.750 0.689
Ni1 0.248 0.750 0.216
Ni2 0.252 0.250 0.716
Ni3 0.748 0.750 0.284
Ni4 0.752 0.250 0.784
Se1 0.048 0.750 0.145
Se2 0.109 0.250 0.563
Se3 0.222 0.750 0.808
Se4 0.278 0.250 0.308
Se5 0.391 0.750 0.063
Se6 0.452 0.250 0.645
Se7 0.548 0.750 0.355
Se8 0.609 0.250 0.937
Se9 0.722 0.750 0.692
Se10 0.778 0.250 0.192
Se11 0.891 0.750 0.437
Se12 0.952 0.250 0.855

Values from the calculation:
- M_tot: 3.6 Bohr magnetons per cell

***

--- two ---
NaHoNiSe3 | PBE | optimized geometry

Cell lengths 7.171, 7.171, 10.342 Å; angles 90.00, 90.00, 148.26 degrees
Positions (direct):
Na1 0.247 0.753 0.750
Na2 0.753 0.247 0.250
Ho1 0.000 0.000 0.000
Ho2 0.000 0.000 0.500
Ni1 0.484 0.516 0.250
Ni2 0.516 0.484 0.750
Se1 0.085 0.915 0.250
Se2 0.365 0.635 0.083
Se3 0.365 0.635 0.417
Se4 0.635 0.365 0.583
Se5 0.635 0.365 0.917
Se6 0.915 0.085 0.750

Values from the calculation:
- M_tot: 2.2 Bohr magnetons per cell

***

It comes down to two, which is 17 meV/atom more stable than the next structure.

***

--- one ---
NaHoNiTe3 | PBE | optimized geometry

Cell lengths 14.923, 4.177, 11.302 Å; angles 90.00, 90.00, 90.00 degrees
Positions (direct):
Na1 0.224 0.250 0.044
Na2 0.276 0.750 0.544
Na3 0.724 0.250 0.456
Na4 0.776 0.750 0.956
Ho1 0.017 0.250 0.339
Ho2 0.483 0.750 0.839
Ho3 0.517 0.250 0.161
Ho4 0.983 0.750 0.661
Ni1 0.010 0.750 0.103
Ni2 0.490 0.250 0.603
Ni3 0.510 0.750 0.397
Ni4 0.990 0.250 0.897
Te1 0.085 0.750 0.903
Te2 0.117 0.250 0.572
Te3 0.144 0.750 0.243
Te4 0.356 0.250 0.743
Te5 0.383 0.750 0.072
Te6 0.415 0.250 0.403
Te7 0.585 0.750 0.597
Te8 0.617 0.250 0.928
Te9 0.644 0.750 0.257
Te10 0.856 0.250 0.757
Te11 0.883 0.750 0.428
Te12 0.915 0.250 0.097

Values from the calculation:
- M_tot: 0.0 Bohr magnetons per cell

***

--- two ---
NaHoNiTe3 | PBE | optimized geometry

Cell lengths 9.019, 9.019, 8.936 Å; angles 104.59, 104.59, 28.13 degrees
Positions (direct):
Na1 0.135 0.135 0.067
Na2 0.865 0.865 0.933
Ho1 0.174 0.174 0.598
Ho2 0.826 0.826 0.402
Ni1 0.494 0.494 0.320
Ni2 0.506 0.506 0.680
Te1 0.000 0.000 0.500
Te2 0.342 0.342 0.181
Te3 0.352 0.352 0.654
Te4 0.500 0.500 0.000
Te5 0.648 0.648 0.346
Te6 0.658 0.658 0.819

Values from the calculation:
- M_tot: 0.0 Bohr magnetons per cell

***

--- three ---
NaHoNiTe3 | PBE | optimized geometry

Cell lengths 8.699, 4.280, 17.426 Å; angles 90.00, 90.00, 90.00 degrees
Positions (direct):
Na1 0.085 0.250 0.213
Na2 0.415 0.750 0.713
Na3 0.585 0.250 0.287
Na4 0.915 0.750 0.787
Ho1 0.243 0.750 0.451
Ho2 0.257 0.250 0.951
Ho3 0.743 0.750 0.049
Ho4 0.757 0.250 0.549
Ni1 0.123 0.250 0.646
Ni2 0.377 0.750 0.146
Ni3 0.623 0.250 0.854
Ni4 0.877 0.750 0.354
Te1 0.015 0.750 0.589
Te2 0.131 0.750 0.058
Te3 0.186 0.250 0.784
Te4 0.314 0.750 0.284
Te5 0.369 0.250 0.558
Te6 0.485 0.250 0.089
Te7 0.515 0.750 0.911
Te8 0.631 0.750 0.442
Te9 0.686 0.250 0.716
Te10 0.814 0.750 0.216
Te11 0.869 0.250 0.942
Te12 0.985 0.250 0.411

Values from the calculation:
- M_tot: 1.1 Bohr magnetons per cell

***

--- four ---
NaHoNiTe3 | PBE | optimized geometry

Cell lengths 8.086, 8.086, 10.591 Å; angles 90.00, 90.00, 150.48 degrees
Positions (direct):
Na1 0.249 0.751 0.750
Na2 0.751 0.249 0.250
Ho1 0.000 0.000 0.000
Ho2 0.000 0.000 0.500
Ni1 0.489 0.511 0.250
Ni2 0.511 0.489 0.750
Te1 0.091 0.909 0.250
Te2 0.369 0.631 0.087
Te3 0.369 0.631 0.413
Te4 0.631 0.369 0.587
Te5 0.631 0.369 0.913
Te6 0.909 0.091 0.750

Values from the calculation:
- M_tot: 0.0 Bohr magnetons per cell

***

It comes down to one, which is 8 meV/atom more stable than the next structure.